Compound: AsPdSN2
Source: Alexandria via LeMat-Bulk
Functional: GGA-PBE
Structure: optimized geometry

a = 3.5578 Å, b = 3.5578 Å, c = 6.6045 Å
α = 90.00°, β = 90.00°, γ = 90.00°
Space group P4/mmm (No. 123)
Symmetry-distinct sites (fractional):
As: 0.0000 0.0000 0.0000 x1
Pd: 0.5000 0.5000 0.5000 x1
S: 0.0000 0.0000 0.5000 x1
N: 0.0000 0.5000 0.0000 x2

Output
* total magnetic moment: 0.49 μB per formula unit
* energy relative to the elements, uncorrected: 1.28 eV/atom
* E_tot: -24.22 eV for the cell shown
* excess energy over the best structure of this formula in the dataset: 0.000 eV per atom

=====

Compound: AsPdSN2
Source: Alexandria via LeMat-Bulk
Functional: GGA-PBE
Structure: optimized geometry

a = 3.8599 Å, b = 3.8599 Å, c = 5.1891 Å
α = 90.00°, β = 90.00°, γ = 90.00°
Space group P4/mmm (No. 123)
Symmetry-distinct sites (fractional):
As: 0.0000 0.0000 0.0000 x1
Pd: 0.5000 0.5000 0.5000 x1
S: 0.5000 0.5000 0.0000 x1
N: 0.0000 0.5000 0.5000 x2

Output
* total magnetic moment: 0.00 μB per formula unit
* energy relative to the elements, uncorrected: 1.55 eV/atom
* E_tot: -22.85 eV for the cell shown
* excess energy over the best structure of this formula in the dataset: 0.274 eV per atom

=====

Compound: Sb2AsPdN
Source: Alexandria via LeMat-Bulk
Functional: GGA-PBE
Structure: optimized geometry

a = 5.3352 Å, b = 5.3352 Å, c = 4.5678 Å
α = 90.00°, β = 90.00°, γ = 90.00°
Space group P4/mmm (No. 123)
Symmetry-distinct sites (fractional):
Sb: 0.0000 0.5000 0.0000 x2
As: 0.0000 0.0000 0.0000 x1
Pd: 0.0000 0.0000 0.5000 x1
N: 0.5000 0.5000 0.5000 x1

Output
* total magnetic moment: 0.00 μB per formula unit
* energy relative to the elements, uncorrected: 1.54 eV/atom
* E_tot: -18.71 eV for the cell shown

=====

Compound: AsPdSe2N
Source: Alexandria via LeMat-Bulk
Functional: GGA-PBE
Structure: optimized geometry

a = 5.1275 Å, b = 5.1275 Å, c = 3.7150 Å
α = 90.00°, β = 90.00°, γ = 90.00°
Space group P4/mmm (No. 123)
Symmetry-distinct sites (fractional):
As: 0.0000 0.0000 0.0000 x1
Pd: 0.5000 0.5000 0.5000 x1
Se: 0.0000 0.5000 0.5000 x2
N: 0.5000 0.5000 0.0000 x1

Output
* total magnetic moment: 0.56 μB per formula unit
* energy relative to the elements, uncorrected: 0.83 eV/atom
* E_tot: -20.99 eV for the cell shown
* excess energy over the best structure of this formula in the dataset: 0.000 eV per atom

=====

Compound: AsPdSe2N
Source: Alexandria via LeMat-Bulk
Functional: GGA-PBE
Structure: optimized geometry

a = 4.3896 Å, b = 4.3896 Å, c = 4.3389 Å
α = 90.00°, β = 90.00°, γ = 90.00°
Space group P4/mmm (No. 123)
Symmetry-distinct sites (fractional):
As: 0.0000 0.0000 0.0000 x1
Pd: 0.5000 0.5000 0.0000 x1
Se: 0.0000 0.5000 0.5000 x2
N: 0.0000 0.0000 0.5000 x1

Output
* total magnetic moment: 0.00 μB per formula unit
* energy relative to the elements, uncorrected: 0.85 eV/atom
* E_tot: -20.89 eV for the cell shown
* excess energy over the best structure of this formula in the dataset: 0.020 eV per atom

=====

Compound: AsPdSe2N
Source: Alexandria via LeMat-Bulk
Functional: GGA-PBE
Structure: optimized geometry

a = 5.1483 Å, b = 5.1483 Å, c = 3.5095 Å
α = 90.00°, β = 90.00°, γ = 90.00°
Space group P4/mmm (No. 123)
Symmetry-distinct sites (fractional):
As: 0.0000 0.0000 0.0000 x1
Pd: 0.5000 0.5000 0.5000 x1
Se: 0.0000 0.5000 0.0000 x2
N: 0.0000 0.0000 0.5000 x1

Output
* total magnetic moment: 0.00 μB per formula unit
* energy relative to the elements, uncorrected: 0.90 eV/atom
* E_tot: -20.66 eV for the cell shown
* excess energy over the best structure of this formula in the dataset: 0.066 eV per atom

=====

Compound: AsPdSe2N
Source: Alexandria via LeMat-Bulk
Functional: GGA-PBE
Structure: optimized geometry

a = 5.0793 Å, b = 5.0793 Å, c = 4.7740 Å
α = 90.00°, β = 90.00°, γ = 90.00°
Space group P4/mmm (No. 123)
Symmetry-distinct sites (fractional):
As: 0.0000 0.0000 0.0000 x1
Pd: 0.0000 0.0000 0.5000 x1
Se: 0.0000 0.5000 0.5000 x2
N: 0.5000 0.5000 0.0000 x1

Output
* total magnetic moment: 2.78 μB per formula unit
* energy relative to the elements, uncorrected: 1.50 eV/atom
* E_tot: -17.66 eV for the cell shown
* excess energy over the best structure of this formula in the dataset: 0.666 eV per atom

=====

Compound: SiAsPd2N
Source: Alexandria via LeMat-Bulk
Functional: GGA-PBE
Structure: optimized geometry

a = 4.8214 Å, b = 4.8214 Å, c = 3.7168 Å
α = 90.00°, β = 90.00°, γ = 90.00°
Space group P4/mmm (No. 123)
Symmetry-distinct sites (fractional):
Si: 0.0000 0.0000 0.0000 x1
As: 0.5000 0.5000 0.5000 x1
Pd: 0.0000 0.5000 0.5000 x2
N: 0.5000 0.5000 0.0000 x1

Output
* total magnetic moment: 0.34 μB per formula unit
* energy relative to the elements, uncorrected: 0.89 eV/atom
* E_tot: -24.33 eV for the cell shown